Entry 1:
DFT (PBE-GGA) results for crystalline Y5Zr4Co4 at its relaxed geometry.

## Properties
Raw total energy ... -96.8 eV for the cell shown

Structure (POSCAR):
```
Y5Zr4Co4
1.0
-6.3240 6.3240 1.7820
6.3240 -6.3240 1.7820
6.3240 6.3240 -1.7820
Y Zr Co
5 4 4
Direct
0.0000 0.0000 0.0000
0.3011 0.6323 0.9334
0.3677 0.3011 0.6687
0.6323 0.6989 0.3313
0.6989 0.3677 0.0666
0.1279 0.4290 0.5570
0.4290 0.8721 0.3011
0.5710 0.1279 0.6989
0.8721 0.5710 0.4430
0.0458 0.7667 0.8125
0.2333 0.0458 0.2791
0.7667 0.9542 0.7209
0.9542 0.2333 0.1875
```

Entry 2:
DFT (PBE-GGA) results for crystalline Sm2Er5Th4 at its relaxed geometry.

## Properties
Energy above the most stable polymorph in this dataset ... 161 meV per atom

Structure (POSCAR):
```
Sm2Er5Th4
1.0
8.3578 -3.3304 0.0000
8.3578 3.3304 0.0000
-1.1205 0.0000 6.4701
Sm Er Th
2 5 4
Direct
0.1963 0.1963 0.3248
0.8037 0.8037 0.6752
0.0000 0.0000 0.5000
0.1750 0.6543 0.0964
0.3457 0.8250 0.9036
0.6543 0.1750 0.0964
0.8250 0.3457 0.9036
0.2485 0.2485 0.8409
0.4084 0.4084 0.5917
0.5916 0.5916 0.4083
0.7515 0.7515 0.1591
```

Entry 3:
DFT (PBE-GGA) results for crystalline TbSm6Dy3Y2 at its relaxed geometry.

## Properties
Raw total energy ... -59.5 eV for the cell shown

Structure (POSCAR):
```
TbSm6Dy3Y2
1.0
3.1156 -5.3925 0.0000
3.1156 5.3925 0.0000
-2.0638 0.0000 11.6759
Tb Sm Dy Y
1 6 3 2
Direct
0.0000 0.0000 0.0000
0.0838 0.4164 0.2508
0.2489 0.2489 0.7493
0.4164 0.0838 0.2508
0.5836 0.9162 0.7492
0.7511 0.7511 0.2507
0.9162 0.5836 0.7492
0.1668 0.8332 0.5000
0.5000 0.5000 0.5000
0.8332 0.1668 0.5000
0.3334 0.6666 0.0000
0.6666 0.3334 0.0000
```

Entry 4:
DFT (PBE-GGA) results for crystalline Pr2YErAs4 at its relaxed geometry.

## Properties
Raw total energy ... -51.3 eV for the cell shown

Structure (POSCAR):
```
Pr2YErAs4
1.0
7.2792 0.0000 0.0000
0.0000 4.2108 0.0000
-2.4322 0.0000 6.8716
Pr Y Er As
2 1 1 4
Direct
0.0000 0.0000 0.0000
0.0000 0.5000 0.5000
0.5000 0.0000 0.5000
0.5000 0.5000 0.0000
0.2618 0.5000 0.2526
0.2627 0.0000 0.7556
0.7373 0.0000 0.2444
0.7382 0.5000 0.7474
```

Entry 5:
DFT (PBE-GGA) results for crystalline RbHfSc at its relaxed geometry.

## Properties
Energy above the most stable polymorph in this dataset ... 764 meV per atom

Structure (POSCAR):
```
RbHfSc
1.0
5.9552 0.0000 0.0000
-2.9776 5.1574 0.0000
0.0000 0.0000 3.0314
Rb Hf Sc
1 1 1
Direct
0.0000 0.0000 0.0000
0.6667 0.3333 0.5000
0.3333 0.6667 0.5000
```

Entry 6:
DFT (PBE-GGA) results for crystalline MgTe2BrN at its relaxed geometry.

## Properties
Formation energy (no corrections) ... 1078 meV per atom
Energy above the most stable polymorph in this dataset ... 380 meV per atom

Structure (POSCAR):
```
MgTe2BrN
1.0
5.8920 0.0000 0.0000
0.0000 5.8920 0.0000
0.0000 0.0000 3.7133
Mg Te Br N
1 2 1 1
Direct
0.0000 0.0000 0.0000
0.0000 0.5000 0.5000
0.5000 0.0000 0.5000
0.5000 0.5000 0.5000
0.5000 0.5000 0.0000
```

Entry 7:
DFT (PBE-GGA) results for crystalline CaPm2Mg9 at its relaxed geometry.

## Properties
Raw total energy ... -26.5 eV for the cell shown

Structure (POSCAR):
```
CaPm2Mg9
1.0
3.0577 1.7654 9.9651
-3.0577 1.7654 9.9651
0.0000 -3.5307 9.9651
Ca Pm Mg
1 2 9
Direct
0.0000 0.0000 0.0000
0.1462 0.1462 0.1462
0.8538 0.8538 0.8538
0.0808 0.5865 0.5865
0.3343 0.3343 0.3343
0.4135 0.4135 0.9192
0.4135 0.9192 0.4135
0.5000 0.5000 0.5000
0.5865 0.0808 0.5865
0.5865 0.5865 0.0808
0.6657 0.6657 0.6657
0.9192 0.4135 0.4135
```

Entry 8:
DFT (PBE-GGA) results for crystalline MnIn3S6 at its relaxed geometry.

## Properties
Formation energy (no corrections) ... -486 meV per atom

Structure (POSCAR):
```
MnIn3S6
1.0
3.2614 1.8829 5.8366
-3.2614 1.8829 5.8366
0.0000 -3.7659 5.8366
Mn In S
1 3 6
Direct
0.0000 0.0000 0.0000
0.3018 0.3018 0.3018
0.5092 0.5092 0.5092
0.7915 0.7915 0.7915
0.1082 0.3732 0.7305
0.1972 0.9040 0.6221
0.3732 0.7305 0.1082
0.6221 0.1972 0.9040
0.7305 0.1082 0.3732
0.9040 0.6221 0.1972
```